Computed, not measured: a geometry-optimized Na2TaTlRe structure at the PBE level of DFT. Values from VASP.

* Fermi-level density of states: 7.37 states/eV per cell
* formation energy from the elements: 11.9 eV per formula unit
* energy: -3.47 eV per atom

```
&SYSTEM
  ibrav = 0, nat = 5, ntyp = 4
/
ATOMIC_SPECIES
Re 186.21 Re.upf
Na 22.99 Na.upf
Ta 180.95 Ta.upf
Tl 204.38 Tl.upf
CELL_PARAMETERS angstrom
-4.7048 1.1435 2.0359
-0.3354 -4.8468 1.9473
2.3106 1.6199 4.4299
ATOMIC_POSITIONS angstrom
Re 0.0000 0.0000 0.0000
Na 1.1553 0.8099 2.2149
Na -2.3524 0.5717 1.0179
Ta -1.3647 -1.0417 4.2065
Tl -0.1677 -2.4234 0.9736
```

Computed, not measured: a geometry-optimized MgAlBr3 structure at the PBE level of DFT. Values from VASP.

* Fermi-level density of states: 1.76 states/eV per cell
* ΔE to the lowest computed polymorph: 317 meV/atom
* ΔE_f (raw): -0.49 eV per atom
* energy: -2.56 eV per atom

```
&SYSTEM
  ibrav = 0, nat = 5, ntyp = 3
/
ATOMIC_SPECIES
Br 79.90 Br.upf
Al 26.98 Al.upf
Mg 24.30 Mg.upf
CELL_PARAMETERS angstrom
5.2353 0.0000 0.0000
0.0000 5.2353 0.0000
0.0000 0.0000 5.2353
ATOMIC_POSITIONS angstrom
Br 2.6176 0.0000 0.0000
Br 0.0000 2.6176 0.0000
Br 0.0000 0.0000 2.6176
Al 0.0000 0.0000 0.0000
Mg 2.6176 2.6176 2.6176
```